[1]
A geometry-optimized Cu2PbBr6 structure. Source: Alexandria via LeMat-Bulk, functional PBE-GGA.

abc: 13.795 12.578 7.054
angles: 90.00 102.15 90.00
Space group C2/c (No. 15)
Inequivalent atoms, fractional coordinates:
Cu 0.194 0.075 0.289
Pb 0.000 0.380 0.250
Br 0.124 0.225 0.100
Br 0.125 0.419 0.656
Br 0.144 0.078 0.592

Uncorrected formation energy (eV/atom): -0.435

[2]
A geometry-optimized Cu2PbBr8 structure. Source: Alexandria via LeMat-Bulk, functional PBE-GGA.

abc: 7.304 7.304 12.740
angles: 90.00 90.00 90.00
Space group I422 (No. 97)
Inequivalent atoms, fractional coordinates:
Cu 0.000 0.500 0.250
Pb 0.000 0.000 0.000
Br 0.161 0.328 0.622

Uncorrected formation energy (eV/atom): -0.294

[3]
A geometry-optimized CuPb2Br2 structure. Source: Alexandria via LeMat-Bulk, functional PBE-GGA.

abc: 7.582 7.582 5.192
angles: 90.00 90.00 90.00
Space group P4/mbm (No. 127)
Inequivalent atoms, fractional coordinates:
Cu 0.000 0.000 0.000
Pb 0.194 0.306 0.000
Br 0.169 0.669 0.500

Uncorrected formation energy (eV/atom): -0.192

[4]
A geometry-optimized Cu2PbBr structure. Source: Alexandria via LeMat-Bulk, functional PBE-GGA.

abc: 3.590 6.254 7.900
angles: 90.00 90.00 90.00
Space group Cmmm (No. 65)
Inequivalent atoms, fractional coordinates:
Cu 0.000 0.000 0.237
Pb 0.000 0.500 0.500
Br 0.000 0.500 0.000

Uncorrected formation energy (eV/atom): 0.247

Q: uncorrected formation energy of number 3 (CuPb2Br2)?
A: -0.192 eV/atom